# Na2ZnCdAu

Crystalline Na2ZnCdAu at its relaxed geometry (PBE, Alexandria).

```
Na2ZnCdAu
1.0
-3.1968 2.2890 3.8808
-2.6265 -4.8130 0.6753
3.3052 -1.3130 3.4970
Na Au Zn Cd
2 1 1 1
Direct
0.0000 0.5000 0.0000
0.5000 0.0000 0.0000
0.0000 0.0000 0.0000
0.0000 0.0000 0.5000
0.5000 0.5000 0.5000
```

* volume: 152 Å³ per cell
* ΔH_f (0 K): 0.006 eV per atom
* symmetry: P4/mmm, No. 123